Run w
A relaxed structure of ZrBe2Ni2, computed with PBE-GGA.

Density ... 6.398 g/cm³

Cell lengths 3.589, 3.589, 9.134 Å; angles 90.00, 90.00, 90.00 degrees
Positions (direct):
1 Zr 0.000 0.000 0.000
2 Zr 0.500 0.500 0.500
3 Be 0.000 0.000 0.383
4 Be 0.000 0.000 0.617
5 Be 0.500 0.500 0.117
6 Be 0.500 0.500 0.883
7 Ni 0.000 0.500 0.250
8 Ni 0.000 0.500 0.750
9 Ni 0.500 0.000 0.250
10 Ni 0.500 0.000 0.750

Run x
A relaxed structure of ZrBe2Ni2, computed with PBE-GGA.

Density ... 6.166 g/cm³

Cell lengths 3.714, 3.714, 8.851 Å; angles 90.00, 90.00, 90.00 degrees
Positions (direct):
1 Zr 0.000 0.000 0.000
2 Zr 0.500 0.500 0.500
3 Be 0.000 0.500 0.250
4 Be 0.000 0.500 0.750
5 Be 0.500 0.000 0.250
6 Be 0.500 0.000 0.750
7 Ni 0.000 0.000 0.370
8 Ni 0.000 0.000 0.630
9 Ni 0.500 0.500 0.130
10 Ni 0.500 0.500 0.870

Stability, highest: run w